# MnAlAs2O6

An optimized crystal structure of MnAlAs2O6 (GGA+U, Alexandria).

a b c (Å): 5.0212 7.2305 7.2305
angles (deg): 72.38 93.62 93.62
Last column: magnetic moment on the atom in μB.
Positions (direct):
Mn 0.2500 0.9205 0.0795  2.02
Mn 0.7500 0.0795 0.9205  2.02
Al 0.2500 0.2528 0.7472  0.01
Al 0.7500 0.7472 0.2528  0.01
As 0.2833 0.7807 0.5735  0.00
As 0.2167 0.4265 0.2193  0.00
As 0.7167 0.2193 0.4265  0.00
As 0.7833 0.5735 0.7807  0.00
O 0.0698 0.0111 0.8186  -0.03
O 0.4302 0.1814 0.9889  -0.03
O 0.9302 0.9889 0.1814  -0.03
O 0.5698 0.8186 0.0111  -0.03
O 0.4408 0.8301 0.3508  -0.01
O 0.0592 0.6492 0.1699  -0.01
O 0.5592 0.1699 0.6492  -0.01
O 0.9408 0.3508 0.8301  -0.01
O 0.9332 0.6846 0.5245  0.00
O 0.5668 0.4755 0.3154  0.00
O 0.0668 0.3154 0.4755  0.00
O 0.4332 0.5245 0.6846  0.00

Results
The value obtained for the density is 4.364 g/cm3. The calculation puts the calculated total energy at -6.514 eV per atom.

# MnAl2AsO

An optimized crystal structure of MnAl2AsO (GGA+U, Alexandria).

a b c (Å): 4.8956 4.8060 4.8956
angles (deg): 90.00 90.00 90.00
Last column: magnetic moment on the atom in μB.
Positions (direct):
As 0.0000 0.0000 0.0000  -0.05
Mn 0.0000 0.5000 0.0000  4.41
Al 0.0000 0.0000 0.5000  0.01
Al 0.5000 0.0000 0.0000  -0.02
O 0.5000 0.5000 0.5000  0.27

Results
The value obtained for the density is 2.881 g/cm3. The calculation puts the calculated total energy at -4.137 eV per atom.

# MnAlAsO6

An optimized crystal structure of MnAlAsO6 (GGA+U, Alexandria).

a b c (Å): 4.8075 4.8075 8.4797
angles (deg): 90.00 90.00 120.00
Last column: magnetic moment on the atom in μB.
Positions (direct):
Mn 0.0000 0.0000 0.0000  3.33
Mn 0.0000 0.0000 0.5000  3.33
Al 0.6667 0.3333 0.2500  0.00
Al 0.3333 0.6667 0.7500  0.00
As 0.3333 0.6667 0.2500  0.02
As 0.6667 0.3333 0.7500  0.02
O 0.6520 0.6578 0.1299  -0.07
O 0.0058 0.3480 0.1299  -0.07
O 0.3480 0.0058 0.6299  -0.07
O 0.9942 0.6520 0.8701  -0.07
O 0.3422 0.3480 0.3701  -0.07
O 0.0058 0.6578 0.3701  -0.07
O 0.6578 0.0058 0.8701  -0.07
O 0.6520 0.9942 0.3701  -0.07
O 0.9942 0.3422 0.6299  -0.07
O 0.3422 0.9942 0.1299  -0.07
O 0.6578 0.6520 0.6299  -0.07
O 0.3480 0.3422 0.8701  -0.07

Results
The value obtained for the density is 4.947 g/cm3. The calculation puts the calculated total energy at -6.701 eV per atom.